Record 1
# LaSi2Tc2 (PBEsol, optimized geometry)
data_LaSi2Tc2
_chemical_formula_sum 'La2 Si4 Tc4'
_symmetry_space_group_name_H-M 'I 4/m m m'
_symmetry_Int_Tables_number 139
_symmetry_space_group_name_Hall '-I 4 2'
_cell_length_a 4.133
_cell_length_b 4.133
_cell_length_c 10.383
_cell_angle_alpha 90.00
_cell_angle_beta 90.00
_cell_angle_gamma 90.00
loop_
_atom_site_label
_atom_site_fract_x
_atom_site_fract_y
_atom_site_fract_z
La1 0.000 0.000 0.000
Si1 0.000 0.000 0.373
Tc1 0.000 0.500 0.250
# Calculated density = 7.32 g/cm3
# Calculated total energy = -84.72 eV/cell
# Calculated volume = 177 Å³/cell
# Crystal system = tetragonal
# Fermi-level density of states = 10.36 states/eV per cell
# Magnetic moment = 0.002 μB per cell

Record 2
# LaSiTc2 (PBEsol, optimized geometry)
data_LaSiTc2
_chemical_formula_sum 'La3 Si3 Tc6'
_symmetry_space_group_name_H-M 'R 3 m'
_symmetry_Int_Tables_number 160
_symmetry_space_group_name_Hall 'R 3 -2"'
_cell_length_a 4.1644
_cell_length_b 4.1644
_cell_length_c 16.1138
_cell_angle_alpha 90.00
_cell_angle_beta 90.00
_cell_angle_gamma 120.00
loop_
_atom_site_label
_atom_site_fract_x
_atom_site_fract_y
_atom_site_fract_z
La1 0.0000 0.0000 0.0000
Si1 0.0000 0.0000 0.2045
Tc1 0.0000 0.0000 0.5017
Tc2 0.0000 0.0000 0.8008
# Calculated density = 7.47 g/cm3
# Calculated total energy = -104.92 eV/cell
# Calculated volume = 242 Å³/cell
# Crystal system = trigonal
# Fermi-level density of states = 6.21 states/eV per cell
# Magnetic moment = 0.000 μB per cell

Record 3
# La2SiTe (PBEsol, optimized geometry)
data_La2SiTe
_chemical_formula_sum 'La4 Si2 Te2'
_symmetry_space_group_name_H-M 'I -4 m 2'
_symmetry_Int_Tables_number 119
_symmetry_space_group_name_Hall 'I -4 -2'
_cell_length_a 4.467
_cell_length_b 4.467
_cell_length_c 10.820
_cell_angle_alpha 90.00
_cell_angle_beta 90.00
_cell_angle_gamma 90.00
loop_
_atom_site_label
_atom_site_fract_x
_atom_site_fract_y
_atom_site_fract_z
La1 0.000 0.000 0.000
La2 0.000 0.500 0.250
Si1 0.000 0.000 0.500
Te1 0.000 0.500 0.750
# Calculated density = 6.67 g/cm3
# Calculated volume = 216 Å³/cell
# Crystal system = tetragonal
# Fermi-level density of states = 4.75 states/eV per cell
# Excess energy over the best structure of this formula in the dataset = 323.8 meV/atom
# Magnetic moment = 0.000 μB per cell

Record 4
# LaSi3Te (PBEsol, optimized geometry)
data_LaSi3Te
_chemical_formula_sum 'La1 Si3 Te1'
_symmetry_space_group_name_H-M 'P m -3 m'
_symmetry_Int_Tables_number 221
_symmetry_space_group_name_Hall '-P 4 2 3'
_cell_length_a 5.131
_cell_length_b 5.131
_cell_length_c 5.131
_cell_angle_alpha 90.00
_cell_angle_beta 90.00
_cell_angle_gamma 90.00
loop_
_atom_site_label
_atom_site_fract_x
_atom_site_fract_y
_atom_site_fract_z
La1 0.000 0.000 0.000
Si1 0.000 0.500 0.500
Te1 0.500 0.500 0.500
# Calculated density = 4.31 g/cm3
# Calculated total energy = -22.73 eV/cell
# Calculated volume = 135 Å³/cell
# Crystal system = cubic
# Fermi-level density of states = 4.66 states/eV per cell
# Magnetic moment = 0.000 μB per cell